Here is an optimized crystal structure of La2InMoN from Alexandria. Energies are from PBE.

Results
Formation energy from raw total energies   -0.569 eV per atom

The structure in CIF format:
```
data_La2InMoN
_chemical_formula_sum 'La2 In1 Mo1 N1'
_symmetry_space_group_name_H-M 'P 1'
_symmetry_Int_Tables_number 1
_symmetry_space_group_name_Hall 'P 1'
_cell_length_a 5.3257
_cell_length_b 5.3257
_cell_length_c 4.0558
_cell_angle_alpha 90.00
_cell_angle_beta 90.00
_cell_angle_gamma 90.00
loop_
_atom_site_label
_atom_site_fract_x
_atom_site_fract_y
_atom_site_fract_z
In1 0.5000 0.5000 0.5000
Mo1 0.0000 0.0000 0.5000
La1 0.0000 0.5000 0.0000
La2 0.5000 0.0000 0.0000
N1 0.0000 0.0000 0.0000
```